# 1
Below is a geometry-optimized CrMoH2 structure, with properties calculated at the PBE-GGA level.

Raw total energy: -26.98 eV/cell
ΔE to the lowest computed polymorph: 0 meV per atom
Space group: R-3m, No. 166
Size of the total moment: 0.18 Bohr magnetons per cell

a = 2.8092 Å, b = 2.8092 Å, c = 4.8599 Å
α = 73.20°, β = 73.20°, γ = 60.00°
Closest atoms and distances in Å follow each position.
Fractional positions:
1 Cr 0.5000 0.5000 0.5000  6 H 1.89
2 H 0.2372 0.2372 0.2885  3 Cr 1.89, 3 Mo 2.09
3 H 0.7628 0.7628 0.7115  3 Cr 1.89, 3 Mo 2.09
4 Mo 0.0000 0.0000 0.0000  6 H 2.09

# 2
Below is a geometry-optimized Cs3Pd2Cl8 structure, with properties calculated at the PBE-GGA level.

Raw total energy: -40.85 eV/cell
Space group: R-3m, No. 166
Size of the total moment: 5.03 Bohr magnetons per cell
Formation energy from raw total energies: -1.01 eV/atom

a = 7.4613 Å, b = 7.4613 Å, c = 10.5921 Å
α = 69.38°, β = 69.38°, γ = 60.00°
Closest atoms and distances in Å follow each position.
Fractional positions:
1 Cl 0.2112 0.7390 0.3108  1 Pd 2.38
2 Cl 0.7390 0.7390 0.3108  1 Pd 2.38
3 Cl 0.7390 0.2112 0.3108  1 Pd 2.38
4 Cl 0.7888 0.2610 0.6892  1 Pd 2.38
5 Cl 0.2610 0.2610 0.6892  1 Pd 2.38
6 Cl 0.2610 0.7888 0.6892  1 Pd 2.38
7 Cl 0.3318 0.3318 0.0047  1 Pd 2.35
8 Cl 0.6682 0.6682 0.9953  1 Pd 2.35
9 Pd 0.5873 0.5873 0.2382  4 Cl 2.35-2.38
10 Pd 0.4127 0.4127 0.7618  4 Cl 2.35-2.38
11 Cs 0.7891 0.7891 0.6326  10 Cl 3.51-3.77
12 Cs 0.2109 0.2109 0.3674  10 Cl 3.51-3.77
13 Cs 0.0000 0.0000 0.0000  6 Cl 3.63

# 3
Below is a geometry-optimized ThCuPbSe4 structure, with properties calculated at the PBE-GGA level.

Raw total energy: -71.35 eV/cell
Space group: P2_1/m, No. 11
Size of the total moment: 0.00 Bohr magnetons per cell
Formation energy from raw total energies: -0.93 eV/atom

a = 7.1735 Å, b = 5.9445 Å, c = 8.7598 Å
α = 90.00°, β = 107.36°, γ = 90.00°
Closest atoms and distances in Å follow each position.
Fractional positions:
1 Se 0.5720 0.2500 0.8724  1 Cu 2.45
2 Se 0.5716 0.2500 0.3944  1 Cu 2.39
3 Se 0.4280 0.7500 0.1276  1 Cu 2.45
4 Se 0.9814 0.4904 0.2709  1 Cu 2.41
5 Se 0.9814 0.0096 0.2709  1 Cu 2.41
6 Se 0.0186 0.9904 0.7291  1 Cu 2.41
7 Se 0.0186 0.5096 0.7291  1 Cu 2.41
8 Se 0.4284 0.7500 0.6056  1 Cu 2.39
9 Cu 0.7489 0.2500 0.6727  4 Se 2.39-2.45
10 Cu 0.2511 0.7500 0.3273  4 Se 2.39-2.45
11 Pb 0.2824 0.2500 0.0477  6 Se 2.93-3.26
12 Pb 0.7176 0.7500 0.9523  6 Se 2.93-3.26
13 Th 0.7363 0.7500 0.4415  8 Se 2.97-3.18, 1 Cu 3.32
14 Th 0.2637 0.2500 0.5585  8 Se 2.97-3.18, 1 Cu 3.32

# 4
Below is a geometry-optimized SmPuCdRu structure, with properties calculated at the PBE-GGA level.

Raw total energy: -29.97 eV/cell
ΔE to the lowest computed polymorph: 0 meV per atom
Space group: P4mm, No. 99
Size of the total moment: 5.15 Bohr magnetons per cell
Calculated formation energy: -0.182 eV/atom

a = 3.3621 Å, b = 3.3621 Å, c = 8.3894 Å
α = 90.00°, β = 90.00°, γ = 90.00°
Closest atoms and distances in Å follow each position.
Fractional positions:
1 Sm 0.5000 0.5000 0.7809  4 Ru 3.00
2 Ru 0.0000 0.0000 0.5628  4 Pu 2.90, 4 Sm 3.00
3 Cd 0.0000 0.0000 0.0752  4 Cd 3.36, 4 Pu 3.41, 4 Sm 3.43
4 Pu 0.5000 0.5000 0.3659  4 Ru 2.90

# 5
Below is a geometry-optimized LaF3 structure, with properties calculated at the PBE-GGA level.

Raw total energy: -160.03 eV/cell
Space group: P6_3/mcm, No. 193
Size of the total moment: 0.15 Bohr magnetons per cell
Formation energy from raw total energies: -4.03 eV/atom

a = 7.2533 Å, b = 7.2533 Å, c = 7.1620 Å
α = 90.00°, β = 90.00°, γ = 120.00°
Closest atoms and distances in Å follow each position.
Fractional positions:
1 F 0.3333 0.6667 0.7500  3 La 2.44, 6 F 2.66
2 F 0.3438 0.3438 0.0828  2 La 2.39-2.66, 5 F 2.39-2.66
3 F 0.6562 0.6562 0.9172  2 La 2.39-2.66, 5 F 2.39-2.66
4 F 0.0000 0.3438 0.5828  2 La 2.39-2.66, 5 F 2.39-2.66
5 F 0.0000 0.6562 0.4172  2 La 2.39-2.66, 5 F 2.39-2.66
6 F 0.6667 0.3333 0.2500  3 La 2.44, 6 F 2.66
7 F 0.0000 0.6562 0.0828  2 La 2.39-2.66, 5 F 2.39-2.66
8 F 0.0000 0.3438 0.9172  2 La 2.39-2.66, 5 F 2.39-2.66
9 F 0.6562 0.6562 0.5828  2 La 2.39-2.66, 5 F 2.39-2.66
10 F 0.3438 0.3438 0.4172  2 La 2.39-2.66, 5 F 2.39-2.66
11 F 0.6667 0.3333 0.7500  3 La 2.44, 6 F 2.66
12 F 0.6562 0.0000 0.0828  2 La 2.39-2.66, 5 F 2.39-2.66
13 F 0.3333 0.6667 0.2500  3 La 2.44, 6 F 2.66
14 F 0.3438 0.0000 0.9172  2 La 2.39-2.66, 5 F 2.39-2.66
15 F 0.3438 0.0000 0.5828  2 La 2.39-2.66, 5 F 2.39-2.66
16 F 0.6562 0.0000 0.4172  2 La 2.39-2.66, 5 F 2.39-2.66
17 F 0.0000 0.0000 0.5000  6 F 2.56
18 F 0.0000 0.0000 0.0000  6 F 2.56
19 La 0.6716 0.6716 0.2500  6 F 2.39-2.66
20 La 0.3284 0.0000 0.2500  6 F 2.39-2.66
21 La 0.0000 0.3284 0.2500  6 F 2.39-2.66
22 La 0.0000 0.6716 0.7500  6 F 2.39-2.66
23 La 0.3284 0.3284 0.7500  6 F 2.39-2.66
24 La 0.6716 0.0000 0.7500  6 F 2.39-2.66

# 6
Below is a geometry-optimized Na2HfPPt structure, with properties calculated at the PBE-GGA level.

Raw total energy: -22.01 eV/cell
Space group: P4/mmm, No. 123
Size of the total moment: 0.00 Bohr magnetons per cell
Calculated formation energy: 0.407 eV/atom

a = 4.9649 Å, b = 5.1090 Å, c = 4.9649 Å
α = 90.00°, β = 90.00°, γ = 90.00°
Closest atoms and distances in Å follow each position.
Fractional positions:
1 Hf 0.0000 0.5000 0.0000  2 Pt 2.55
2 Na 0.5000 0.0000 0.0000  2 Pt 2.48
3 Na 0.0000 0.0000 0.5000  2 Pt 2.48
4 P 0.5000 0.5000 0.5000  4 Hf 3.51, 8 Na 3.56
5 Pt 0.0000 0.0000 0.0000  4 Na 2.48, 2 Hf 2.55

# 7
Below is a geometry-optimized Ti2TlI structure, with properties calculated at the PBE-GGA level.

Raw total energy: -18.30 eV/cell
ΔE to the lowest computed polymorph: 0 meV per atom
Space group: Fm-3m, No. 225
Size of the total moment: 1.67 Bohr magnetons per cell
Formation energy from raw total energies: 0.35 eV/atom

a = 4.9156 Å, b = 4.9156 Å, c = 4.9156 Å
α = 60.00°, β = 60.00°, γ = 60.00°
Closest atoms and distances in Å follow each position.
Fractional positions:
1 I 0.0000 0.0000 0.0000  8 Ti 3.01
2 Ti 0.7500 0.7500 0.7500  4 I 3.01, 4 Tl 3.01
3 Ti 0.2500 0.2500 0.2500  4 Tl 3.01, 4 I 3.01
4 Tl 0.5000 0.5000 0.5000  8 Ti 3.01

# 8
Below is a geometry-optimized TbSc3 structure, with properties calculated at the PBE-GGA level.

Raw total energy: -23.18 eV/cell
ΔE to the lowest computed polymorph: 86 meV per atom
Space group: Fm-3m, No. 225
Size of the total moment: 0.00 Bohr magnetons per cell
Calculated formation energy: 0.110 eV/atom

a = 5.2990 Å, b = 5.2990 Å, c = 5.2990 Å
α = 60.00°, β = 60.00°, γ = 60.00°
Closest atoms and distances in Å follow each position.
Fractional positions:
1 Sc 0.0000 0.0000 0.0000  8 Sc 3.24
2 Sc 0.7500 0.7500 0.7500  4 Sc 3.24, 4 Tb 3.24
3 Sc 0.2500 0.2500 0.2500  4 Tb 3.24, 4 Sc 3.24
4 Tb 0.5000 0.5000 0.5000  8 Sc 3.24

# 9
Below is a geometry-optimized PbCI3 structure, with properties calculated at the PBE-GGA level.

Raw total energy: -10.80 eV/cell
ΔE to the lowest computed polymorph: 530 meV per atom
Space group: Pm-3m, No. 221
Size of the total moment: 1.28 Bohr magnetons per cell
Formation energy from raw total energies: 1.36 eV/atom

a = 6.2352 Å, b = 6.2352 Å, c = 6.2352 Å
α = 90.00°, β = 90.00°, γ = 90.00°
Closest atoms and distances in Å follow each position.
Fractional positions:
1 C 0.5000 0.5000 0.5000  12 I 4.41
2 I 0.0000 0.5000 0.0000  2 Pb 3.12
3 I 0.0000 0.0000 0.5000  2 Pb 3.12
4 I 0.5000 0.0000 0.0000  2 Pb 3.12
5 Pb 0.0000 0.0000 0.0000  6 I 3.12